Record 1
An optimized crystal structure of Ac6PmPr3. Source: Alexandria, functional PBE.

Values from the calculation:
SG   C2/m, No. 12
Formation energy from the elements   1.9 eV/f.u.

Cell lengths 7.408, 9.971, 7.085 Å; angles 107.32, 121.52, 90.00 degrees
Sites, in units of the cell vectors:
Ac1 0.372 0.085 0.745
Ac2 0.628 0.915 0.255
Ac3 0.446 0.299 0.390
Ac4 0.554 0.701 0.610
Ac5 0.944 0.299 0.390
Ac6 0.056 0.701 0.610
Pr1 0.945 0.332 0.890
Pr2 0.000 0.000 0.000
Pr3 0.055 0.668 0.110
Pm1 0.500 0.500 0.000

=====

Record 2
An optimized crystal structure of CeUAsO2. Source: Alexandria, functional PBE.

Values from the calculation:
Energy relative to the elements, uncorrected   -2.47 eV/atom
SG   I4mm, No. 107

Cell lengths 3.826, 3.826, 6.688 Å; angles 106.62, 106.62, 90.00 degrees
Sites, in units of the cell vectors:
O1 0.246 0.746 0.491
O2 0.746 0.246 0.491
U1 0.145 0.145 0.291
Ce1 0.859 0.859 0.717
As1 0.505 0.505 0.010

=====

Number 1: D(E_F) 18.1 states/eV/f.u.. Number 2: D(E_F) 10.5 states/eV/f.u..